[1]
The following is a PBE calculation of crystalline MnNbZn2Tc at its relaxed geometry, from Alexandria via LeMat-Bulk.

Cell lengths 4.720, 4.720, 4.344 Å; angles 90.00, 90.00, 90.00 degrees
Atoms (fractional coordinates):
Mn (0.000, 0.000, 0.000)
Nb (0.500, 0.500, 0.000)
Zn (0.000, 0.500, 0.500)
Zn (0.500, 0.000, 0.500)
Tc (0.000, 0.000, 0.500)

Summary:
Excess energy over the best structure of this formula in the dataset: 153 meV/atom
ΔH_f (0 K): 1099.7 meV/atom
Total magnetic moment: 1.0 μB/cell
DOS(E_F): 4.27 states/eV per cell

[2]
The following is a PBE calculation of crystalline RbYSeI2 at its relaxed geometry, from Alexandria via LeMat-Bulk.

Cell lengths 7.344, 7.344, 5.073 Å; angles 90.00, 90.00, 90.00 degrees
Atoms (fractional coordinates):
Rb (0.000, 0.000, 0.000)
Y (0.500, 0.500, 0.000)
Se (0.500, 0.500, 0.500)
I (0.000, 0.500, 0.500)
I (0.500, 0.000, 0.500)

Summary:
Excess energy over the best structure of this formula in the dataset: 760 meV/atom
Energy relative to the elements, uncorrected: -668 meV per atom
Total magnetic moment: 0.0 μB/cell
DOS(E_F): 0.04 states/eV per cell

[3]
The following is a PBE calculation of crystalline SrAu2F8 at its relaxed geometry, from Alexandria via LeMat-Bulk.

Cell lengths 6.967, 6.967, 6.967 Å; angles 130.20, 130.20, 73.08 degrees
Atoms (fractional coordinates):
Sr (0.000, 0.000, 0.000)
Au (0.250, 0.750, 0.500)
Au (0.750, 0.250, 0.500)
F (0.035, 0.550, 0.838)
F (0.197, 0.035, 0.486)
F (0.288, 0.450, 0.486)
F (0.450, 0.965, 0.162)
F (0.550, 0.712, 0.514)
F (0.712, 0.197, 0.162)
F (0.803, 0.288, 0.838)
F (0.965, 0.803, 0.514)

Summary:
Energy relative to the elements, uncorrected: -1881 meV per atom
Total magnetic moment: 0.0 μB/cell
DOS(E_F): 0.00 states/eV per cell

[4]
The following is a PBE calculation of crystalline KSmHg6 at its relaxed geometry, from Alexandria via LeMat-Bulk.

Cell lengths 5.330, 7.047, 5.692 Å; angles 90.00, 90.00, 90.00 degrees
Atoms (fractional coordinates):
K (0.000, 0.000, 0.000)
Sm (0.500, 0.500, 0.319)
Hg (0.000, 0.265, 0.492)
Hg (0.000, 0.500, 0.989)
Hg (0.000, 0.735, 0.492)
Hg (0.500, 0.000, 0.390)
Hg (0.500, 0.267, 0.836)
Hg (0.500, 0.733, 0.836)

Summary:
ΔH_f (0 K): -251.5 meV/atom
Total magnetic moment: 0.0 μB/cell
DOS(E_F): 3.94 states/eV per cell

[5]
The following is a PBE calculation of crystalline Y2ZrCl at its relaxed geometry, from Alexandria via LeMat-Bulk.

Cell lengths 3.504, 3.447, 9.129 Å; angles 90.00, 90.15, 90.00 degrees
Atoms (fractional coordinates):
Y (0.002, 0.000, 0.245)
Y (0.998, 0.000, 0.755)
Zr (0.500, 0.500, 0.000)
Cl (0.000, 0.500, 0.500)

Summary:
Excess energy over the best structure of this formula in the dataset: 10 meV/atom
Energy relative to the elements, uncorrected: -608 meV per atom
Total magnetic moment: 0.0 μB/cell
DOS(E_F): 4.47 states/eV per cell

[6]
The following is a PBE calculation of crystalline NaYSc4S8 at its relaxed geometry, from Alexandria via LeMat-Bulk.

Cell lengths 7.836, 7.836, 7.836 Å; angles 58.76, 58.76, 58.76 degrees
Atoms (fractional coordinates):
Na (0.000, 0.000, 0.000)
Y (0.367, 0.367, 0.367)
Sc (0.365, 0.365, 0.887)
Sc (0.365, 0.887, 0.365)
Sc (0.744, 0.744, 0.744)
Sc (0.887, 0.365, 0.365)
S (0.124, 0.124, 0.586)
S (0.124, 0.586, 0.124)
S (0.135, 0.135, 0.135)
S (0.137, 0.620, 0.620)
S (0.586, 0.124, 0.124)
S (0.613, 0.613, 0.613)
S (0.620, 0.137, 0.620)
S (0.620, 0.620, 0.137)

Summary:
Energy relative to the elements, uncorrected: -1823 meV per atom
Total magnetic moment: 0.0 μB/cell
DOS(E_F): 0.00 states/eV per cell